Density functional theory data (SCAN) for a crystal of Eu2ZrO4 relaxed with PBEsol.

Lattice parameters (Å, degrees): 6.828 6.828 6.828 145.03 145.03 50.29
Positions (direct):
Eu: 0.145 0.145 0.000
Eu: 0.855 0.855 0.000
Zr: 0.500 0.500 0.000
O: 0.000 0.500 0.500
O: 0.330 0.330 0.000
O: 0.500 0.000 0.500
O: 0.670 0.670 0.000

Results
Space group   I4/mmm, No. 139
Formation energy from raw total energies   -325 kJ per mole of atoms